No. 1
{"formula": "CaScCr2", "functional": "meta-GGA SCAN", "state": "single point on PBEsol structure", "spacegroup": "Cmmm, No. 65", "rho_kg_m3": 4720, "formation_enthalpy_0k_mev_per_atom": 1086, "vol_a3_per_cell": 66, "e_tot_ev_per_cell": -56.3, "lattice": [[-2.524, -0.864, 0.069], [1.637, -4.897, -1.464], [-0.301, 1.295, 5.200]], "species": ["Cr", "Cr", "Ca", "Sc"], "fractional_positions": [[0.000, 0.000, 0.500], [0.000, 0.500, 0.000], [0.500, 0.500, 0.500], [0.500, 0.000, 0.000]]}

---

No. 2
{"formula": "CaScCr2", "functional": "meta-GGA SCAN", "state": "single point on PBEsol structure", "spacegroup": "Imm2, No. 44", "rho_kg_m3": 4277, "formation_enthalpy_0k_mev_per_atom": 457, "vol_a3_per_cell": 73, "e_tot_ev_per_cell": -58.8, "lattice": [[-0.298, 0.808, -3.017], [-3.540, -3.411, -0.565], [-1.353, 4.501, 2.971]], "species": ["Cr", "Cr", "Sc", "Ca"], "fractional_positions": [[0.699, 0.199, 0.398], [0.048, 0.048, 0.096], [0.479, 0.479, 0.959], [0.273, 0.773, 0.547]]}

---

Please write out number 2 again, unchanged.
{"formula": "CaScCr2", "functional": "meta-GGA SCAN", "state": "single point on PBEsol structure", "spacegroup": "Imm2, No. 44", "rho_kg_m3": 4277, "formation_enthalpy_0k_mev_per_atom": 457, "vol_a3_per_cell": 73, "e_tot_ev_per_cell": -58.8, "lattice": [[-0.298, 0.808, -3.017], [-3.540, -3.411, -0.565], [-1.353, 4.501, 2.971]], "species": ["Cr", "Cr", "Sc", "Ca"], "fractional_positions": [[0.699, 0.199, 0.398], [0.048, 0.048, 0.096], [0.479, 0.479, 0.959], [0.273, 0.773, 0.547]]}